The following is a GGA-PBE calculation of NdHoTe2 after structural relaxation, from Alexandria.

Energy above the most stable polymorph in this dataset in eV/atom: 0.028
E_tot in Ry per atom: -0.38563
Crystal system: trigonal

Geometry as extended XYZ:
```
4
Lattice="2.186 1.262 7.363 -2.186 1.262 7.363 0.000 -2.525 7.363" Properties=species:S:1:pos:R:3 pbc="T T T"
Nd 0.000 0.000 0.000
Ho 0.000 0.000 11.045
Te 0.000 0.000 5.419
Te 0.000 0.000 16.670
```

The following is a GGA-PBE calculation of Nd4HoTe5 after structural relaxation, from Alexandria.

E_tot in Ry per atom: -0.39125
Crystal system: tetragonal

Geometry as extended XYZ:
```
10
Lattice="-2.219 2.219 16.024 2.219 -2.219 16.024 2.219 2.219 -16.024" Properties=species:S:1:pos:R:3 pbc="T T T"
Nd 0.000 0.000 3.356
Nd 0.000 0.000 9.892
Nd 0.000 0.000 22.157
Nd 0.000 0.000 28.693
Ho 0.000 0.000 16.024
Te 0.000 0.000 0.000
Te 0.000 0.000 6.571
Te 0.000 0.000 13.015
Te 0.000 0.000 19.034
Te 0.000 0.000 25.478
```

The following is a GGA-PBE calculation of Nd5HoTe8 after structural relaxation, from Alexandria.

E_tot in Ry per atom: -0.38387
Crystal system: tetragonal

Geometry as extended XYZ:
```
14
Lattice="-4.736 4.736 4.784 4.736 -4.736 4.784 4.736 4.736 -4.784" Properties=species:S:1:pos:R:3 pbc="T T T"
Nd 0.000 0.000 0.000
Nd 2.374 -1.125 3.592
Nd 3.611 2.362 1.191
Nd 2.362 5.862 -1.191
Nd 1.125 2.374 5.975
Ho 0.000 4.736 2.392
Te 4.052 3.013 -1.929
Te 6.393 0.717 0.465
Te 0.717 3.080 -0.465
Te 0.685 1.723 2.855
Te 4.019 1.657 4.319
Te 1.723 -0.685 6.712
Te 3.013 5.421 1.929
Te -1.657 4.019 5.248
```

The following is a GGA-PBE calculation of Nd5HoTe6 after structural relaxation, from Alexandria.

E_tot in Ry per atom: -0.39215
Crystal system: monoclinic

Geometry as extended XYZ:
```
12
Lattice="3.874 -6.720 0.000 3.874 6.720 0.000 -2.577 0.000 7.284" Properties=species:S:1:pos:R:3 pbc="T T T"
Nd 0.000 0.000 0.000
Nd 2.586 4.464 3.642
Nd 3.874 2.354 0.000
Nd 3.874 -2.354 0.000
Nd 2.586 -4.464 3.642
Ho 2.586 0.000 3.642
Te 1.332 2.169 1.869
Te 0.081 0.000 5.461
Te 1.332 -2.169 1.869
Te 3.839 2.169 5.415
Te 5.090 0.000 1.823
Te 3.839 -2.169 5.415
```

The following is a GGA-PBE calculation of NdHo6Te8 after structural relaxation, from Alexandria.

Energy above the most stable polymorph in this dataset in eV/atom: 0.000
E_tot in Ry per atom: -0.38020
Crystal system: cubic

Geometry as extended XYZ:
```
15
Lattice="0.000 6.119 6.119 6.119 0.000 6.119 6.119 6.119 0.000" Properties=species:S:1:pos:R:3 pbc="T T T"
Nd 0.000 0.000 0.000
Ho 3.060 3.060 0.000
Ho 3.060 0.000 3.060
Ho 6.119 3.060 3.060
Ho 0.000 3.060 3.060
Ho 3.060 6.119 3.060
Ho 3.060 3.060 6.119
Te 3.060 3.060 3.060
Te 6.119 6.119 3.207
Te 6.119 3.207 6.119
Te 9.032 6.119 6.119
Te 3.207 6.119 6.119
Te 6.119 9.032 6.119
Te 6.119 6.119 9.032
Te 9.179 9.179 9.179
```

The following is a GGA-PBE calculation of NdHoTe2 after structural relaxation, from Alexandria.

Energy above the most stable polymorph in this dataset in eV/atom: 0.156
E_tot in Ry per atom: -0.37623
Crystal system: cubic

Geometry as extended XYZ:
```
4
Lattice="0.000 3.825 3.825 3.825 0.000 3.825 3.825 3.825 0.000" Properties=species:S:1:pos:R:3 pbc="T T T"
Nd 0.000 0.000 0.000
Ho 3.825 3.825 3.825
Te 1.912 1.912 1.912
Te 5.737 5.737 5.737
```

The following is a GGA-PBE calculation of Nd5HoTe4 after structural relaxation, from Alexandria.

E_tot in Ry per atom: -0.37447
Crystal system: monoclinic

Geometry as extended XYZ:
```
10
Lattice="9.377 -2.141 0.000 9.377 2.141 0.000 -1.782 0.000 8.502" Properties=species:S:1:pos:R:3 pbc="T T T"
Nd 0.000 0.000 0.000
Nd 5.693 0.000 1.210
Nd 5.004 0.000 5.913
Nd 11.968 0.000 2.590
Nd 11.279 0.000 7.293
Ho -0.891 0.000 4.251
Te 2.054 0.000 4.877
Te 8.784 0.000 2.162
Te 8.187 0.000 6.340
Te 14.918 0.000 3.625
```

The following is a GGA-PBE calculation of NdHoTe2 after structural relaxation, from Alexandria.

Energy above the most stable polymorph in this dataset in eV/atom: 0.000
E_tot in Ry per atom: -0.38771
Crystal system: trigonal

Geometry as extended XYZ:
```
4
Lattice="2.146 1.239 7.675 -2.146 1.239 7.675 0.000 -2.478 7.675" Properties=species:S:1:pos:R:3 pbc="T T T"
Nd 0.000 0.000 0.000
Ho 0.000 0.000 4.012
Te 0.000 0.000 13.406
Te 0.000 0.000 17.458
```

The following is a GGA-PBE calculation of Nd6HoTe8 after structural relaxation, from Alexandria.

E_tot in Ry per atom: -0.39192
Crystal system: cubic

Geometry as extended XYZ:
```
15
Lattice="0.000 6.332 6.332 6.332 0.000 6.332 6.332 6.332 0.000" Properties=species:S:1:pos:R:3 pbc="T T T"
Nd 3.166 3.166 0.000
Nd 3.166 0.000 3.166
Nd 6.332 3.166 3.166
Nd 0.000 3.166 3.166
Nd 3.166 6.332 3.166
Nd 3.166 3.166 6.332
Ho 0.000 0.000 0.000
Te 6.332 6.332 3.145
Te 6.332 3.145 6.332
Te 9.518 6.332 6.332
Te 3.166 3.166 3.166
Te 9.498 9.498 9.498
Te 3.145 6.332 6.332
Te 6.332 9.518 6.332
Te 6.332 6.332 9.518
```

The following is a GGA-PBE calculation of NdHoTe2 after structural relaxation, from Alexandria.

Energy above the most stable polymorph in this dataset in eV/atom: 0.148
E_tot in Ry per atom: -0.37686
Crystal system: tetragonal

Geometry as extended XYZ:
```
4
Lattice="5.407 0.000 0.000 0.000 5.407 0.000 0.000 0.000 3.826" Properties=species:S:1:pos:R:3 pbc="T T T"
Nd 0.000 0.000 0.000
Ho 2.703 2.703 0.000
Te 0.000 2.703 1.913
Te 2.703 0.000 1.913
```

The following is a GGA-PBE calculation of NdHo4Te5 after structural relaxation, from Alexandria.

Energy above the most stable polymorph in this dataset in eV/atom: 0.000
E_tot in Ry per atom: -0.37941
Crystal system: monoclinic

Geometry as extended XYZ:
```
10
Lattice="7.276 -2.180 0.000 7.276 2.180 0.000 -5.287 0.000 9.292" Properties=species:S:1:pos:R:3 pbc="T T T"
Nd 0.000 0.000 0.000
Ho -1.225 0.000 7.431
Ho 2.646 0.000 5.647
Ho 6.619 0.000 3.645
Ho 10.491 0.000 1.861
Te -2.644 0.000 4.646
Te 1.335 0.000 2.878
Te 5.176 0.000 0.973
Te 4.090 0.000 8.319
Te 7.930 0.000 6.414
```

The following is a GGA-PBE calculation of Nd2Ho3Te8 after structural relaxation, from Alexandria.

E_tot in Ry per atom: -0.36767
Crystal system: monoclinic

Geometry as extended XYZ:
```
13
Lattice="7.753 -4.380 0.000 7.753 4.380 0.000 -2.405 0.000 7.169" Properties=species:S:1:pos:R:3 pbc="T T T"
Nd 3.443 0.000 1.214
Nd 9.658 0.000 5.956
Ho 6.551 2.252 3.585
Ho 7.753 0.000 0.000
Ho 6.551 -2.252 3.585
Te 0.840 0.000 2.960
Te 5.712 2.167 0.643
Te 7.389 2.167 6.526
Te 4.517 0.000 4.217
Te 8.584 0.000 2.953
Te 5.712 -2.167 0.643
Te 7.389 -2.167 6.526
Te 12.261 0.000 4.210
```

Number 1: volume 30.48 Å³/atom, Fermi-level density of states 2.278 states/eV/cell, uncorrected formation energy -1.34 eV/atom. Number 2: volume 31.57 Å³/atom, Fermi-level density of states 5.983 states/eV/cell, uncorrected formation energy -1.39 eV/atom. Number 3: volume 30.66 Å³/atom, Fermi-level density of states 9.667 states/eV/cell, uncorrected formation energy -1.40 eV/atom. Number 4: volume 31.61 Å³/atom, Fermi-level density of states 5.566 states/eV/cell, uncorrected formation energy -1.40 eV/atom. Number 5: volume 30.55 Å³/atom, Fermi-level density of states 6.638 states/eV/cell, uncorrected formation energy -1.35 eV/atom. Number 6: volume 27.98 Å³/atom, Fermi-level density of states 3.415 states/eV/cell, uncorrected formation energy -1.21 eV/atom. Number 7: volume 34.14 Å³/atom, Fermi-level density of states 8.482 states/eV/cell, uncorrected formation energy -1.00 eV/atom. Number 8: volume 30.61 Å³/atom, Fermi-level density of states 1.345 states/eV/cell, uncorrected formation energy -1.37 eV/atom. Number 9: volume 33.85 Å³/atom, Fermi-level density of states 7.306 states/eV/cell, uncorrected formation energy -1.44 eV/atom. Number 10: volume 27.96 Å³/atom, Fermi-level density of states 3.715 states/eV/cell, uncorrected formation energy -1.22 eV/atom. Number 11: volume 29.47 Å³/atom, Fermi-level density of states 5.259 states/eV/cell, uncorrected formation energy -1.28 eV/atom. Number 12: volume 37.46 Å³/atom, Fermi-level density of states 6.287 states/eV/cell, uncorrected formation energy -1.28 eV/atom.